1.
## Ca3B5Ir6 (PBE)

Data for a relaxed Ca3B5Ir6 crystal.

Output
**V**: 14.6 A^3/atom
**Energy relative to the elements**: -0.347 eV/atom
**Total DFT energy (no corrections)**: -6.958 eV per atom

Geometry as CIF:
```
data_Ca3B5Ir6
_chemical_formula_sum 'Ca6 B10 Ir12'
_cell_length_a 3.675
_cell_length_b 12.092
_cell_length_c 9.213
_cell_angle_alpha 90.00
_cell_angle_beta 90.00
_cell_angle_gamma 90.00
_symmetry_space_group_name_H-M 'P m m n'
_symmetry_Int_Tables_number 59
loop_
_symmetry_equiv_pos_as_xyz
'x,y,z'
'-x,-y,-z'
'-x+1/2,-y+1/2,z'
'x+1/2,y+1/2,-z'
'x+1/2,-y,-z'
'-x+1/2,y,z'
'-x,y+1/2,-z'
'x,-y+1/2,z'
loop_
_atom_site_label
_atom_site_type_symbol
_atom_site_fract_x
_atom_site_fract_y
_atom_site_fract_z
Ca1 Ca 0.250 0.104 0.243
Ca2 Ca 0.250 0.750 0.280
B1 B 0.250 0.069 0.855
B2 B 0.250 0.610 0.508
B3 B 0.250 0.750 0.950
Ir1 Ir 0.250 0.051 0.604
Ir2 Ir 0.250 0.250 0.482
Ir3 Ir 0.250 0.250 0.959
Ir4 Ir 0.250 0.582 0.020
```



2.
## Ac2PdRu (PBE)

Data for a relaxed Ac2PdRu crystal.

Output
**V**: 26.9 A^3/atom
**Energy relative to the elements**: -0.428 eV/atom
**Total DFT energy (no corrections)**: -6.100 eV per atom

Geometry as CIF:
```
data_Ac2PdRu
_chemical_formula_sum 'Ac4 Pd2 Ru2'
_cell_length_a 6.286
_cell_length_b 4.358
_cell_length_c 8.346
_cell_angle_alpha 90.00
_cell_angle_beta 109.68
_cell_angle_gamma 90.00
_symmetry_space_group_name_H-M 'P 1 21/m 1'
_symmetry_Int_Tables_number 11
_symmetry_space_group_name_Hall '-P 2yb'
loop_
_atom_site_label
_atom_site_type_symbol
_atom_site_fract_x
_atom_site_fract_y
_atom_site_fract_z
Ac1 Ac 0.223 0.250 0.442
Ac2 Ac 0.225 0.250 0.921
Pd1 Pd 0.334 0.750 0.208
Ru1 Ru 0.336 0.750 0.713
```



3.
## VGaSeN2 (PBE)

Data for a relaxed VGaSeN2 crystal.

Output
**V**: 15.1 A^3/atom
**Total DFT energy (no corrections)**: -6.256 eV per atom

Geometry as CIF:
```
data_VGaSeN2
_chemical_formula_sum 'V1 Ga1 Se1 N2'
_cell_length_a 3.769
_cell_length_b 3.769
_cell_length_c 5.305
_cell_angle_alpha 90.00
_cell_angle_beta 90.00
_cell_angle_gamma 90.00
_symmetry_space_group_name_H-M 'P 4/m m m'
_symmetry_Int_Tables_number 123
_symmetry_space_group_name_Hall '-P 4 2'
loop_
_atom_site_label
_atom_site_type_symbol
_atom_site_fract_x
_atom_site_fract_y
_atom_site_fract_z
V1 V 0.000 0.000 0.000
Ga1 Ga 0.500 0.500 0.500
Se1 Se 0.000 0.000 0.500
N1 N 0.000 0.500 0.000
```



4.
## UTaC (PBE)

Data for a relaxed UTaC crystal.

Output
**V**: 15.1 A^3/atom
**Energy relative to the elements**: 0.244 eV/atom
**Total DFT energy (no corrections)**: -10.544 eV per atom

Geometry as CIF:
```
data_UTaC
_chemical_formula_sum 'U2 Ta2 C2'
_cell_length_a 2.976
_cell_length_b 2.976
_cell_length_c 10.197
_cell_angle_alpha 90.00
_cell_angle_beta 90.00
_cell_angle_gamma 90.00
_symmetry_space_group_name_H-M 'I 4 m m'
_symmetry_Int_Tables_number 107
_symmetry_space_group_name_Hall 'I 4 -2'
loop_
_atom_site_label
_atom_site_type_symbol
_atom_site_fract_x
_atom_site_fract_y
_atom_site_fract_z
U1 U 0.000 0.000 0.000
Ta1 Ta 0.000 0.000 0.726
C1 C 0.000 0.000 0.307
```